This record from the Alexandria database describes crystalline BaBe3F at its relaxed geometry. The functional is GGA-PBEsol.

Cell: 6.2568 6.2568 6.2568 Å, 90.00 90.00 90.00°
With the nearest neighbours (Å) after each atom.
Fractional coordinates of all 5 atoms:
Ba: 0.0000 0.0000 0.0000  6 Be 3.13
Be: 0.0000 0.0000 0.5000  2 Ba 3.13
Be: 0.0000 0.5000 0.0000  2 Ba 3.13
Be: 0.5000 0.0000 0.0000  2 Ba 3.13
F: 0.5000 0.5000 0.5000  12 Be 4.42

Values from the calculation:
Raw formation energy: 1.85 eV per atom
Calculated volume: 244.93 Å³/f.u.
Total energy: -1.37 eV per atom
DOS at the Fermi energy: 3.25 states/eV/f.u.